(1)
SmYTh4: optimized geometry, GGA-PBE.

Cell: 3.588 3.588 15.166 Å, 90.00 90.00 90.00°
Fractional positions:
1 Sm 0.000 0.000 0.000
2 Y 0.500 0.500 0.500
3 Th 0.000 0.000 0.331
4 Th 0.000 0.000 0.669
5 Th 0.500 0.500 0.171
6 Th 0.500 0.500 0.829

Output
Spin magnetization ... 0.000 μB per formula unit
VASP energy ... -6.768 eV/atom
ΔE to the lowest computed polymorph ... 0.000 eV per atom
Space-group type ... P4/mmm, No. 123
Energy of formation ... 0.04 eV/atom

(2)
Sm2Y6Th: optimized geometry, GGA-PBE.

Cell: 9.998 9.998 6.495 Å, 97.77 97.77 69.63°
Fractional positions:
1 Sm 0.152 0.233 0.405
2 Sm 0.233 0.152 0.905
3 Sm 0.767 0.848 0.095
4 Sm 0.848 0.767 0.595
5 Y 0.079 0.563 0.224
6 Y 0.122 0.836 0.992
7 Y 0.164 0.878 0.508
8 Y 0.250 0.495 0.738
9 Y 0.437 0.921 0.276
10 Y 0.495 0.250 0.238
11 Y 0.505 0.750 0.762
12 Y 0.563 0.079 0.724
13 Y 0.750 0.505 0.262
14 Y 0.836 0.122 0.492
15 Y 0.878 0.164 0.008
16 Y 0.921 0.437 0.776
17 Th 0.396 0.604 0.250
18 Th 0.604 0.396 0.750

Output
Spin magnetization ... 0.000 μB per formula unit
VASP energy ... -6.030 eV/atom
ΔE to the lowest computed polymorph ... 0.089 eV per atom
Space-group type ... C2/c, No. 15
Energy of formation ... 0.15 eV/atom

(3)
Sm9Y3Th2: optimized geometry, GGA-PBE.

Cell: 10.038 10.038 5.708 Å, 106.45 106.45 63.09°
Fractional positions:
1 Sm 0.000 0.000 0.000
2 Sm 0.008 0.349 0.181
3 Sm 0.054 0.715 0.386
4 Sm 0.116 0.447 0.784
5 Sm 0.314 0.652 0.985
6 Sm 0.349 0.008 0.181
7 Sm 0.447 0.116 0.784
8 Sm 0.652 0.314 0.985
9 Sm 0.715 0.054 0.386
10 Y 0.385 0.385 0.387
11 Y 0.676 0.676 0.178
12 Y 0.790 0.790 0.791
13 Th 0.423 0.759 0.593
14 Th 0.759 0.423 0.593

Output
Spin magnetization ... 0.000 μB per formula unit
VASP energy ... -5.287 eV/atom
Space-group type ... Cm, No. 8
Energy of formation ... 0.19 eV/atom

(4)
Sm6Y3Th: optimized geometry, GGA-PBE.

Cell: 13.246 3.550 14.492 Å, 90.00 100.46 90.00°
Fractional positions:
1 Sm 0.001 0.250 0.191
2 Sm 0.156 0.750 0.380
3 Sm 0.229 0.250 0.799
4 Sm 0.279 0.250 0.212
5 Sm 0.311 0.250 0.580
6 Sm 0.379 0.750 0.015
7 Sm 0.621 0.250 0.985
8 Sm 0.689 0.750 0.420
9 Sm 0.721 0.750 0.788
10 Sm 0.771 0.750 0.201
11 Sm 0.844 0.250 0.620
12 Sm 0.999 0.750 0.809
13 Y 0.078 0.750 0.597
14 Y 0.125 0.250 0.002
15 Y 0.426 0.750 0.399
16 Y 0.574 0.250 0.601
17 Y 0.875 0.750 0.998
18 Y 0.922 0.250 0.403
19 Th 0.463 0.750 0.778
20 Th 0.537 0.250 0.222

Output
Spin magnetization ... 0.000 μB per formula unit
VASP energy ... -5.432 eV/atom
Space-group type ... P2_1/m, No. 11
Energy of formation ... 0.08 eV/atom

(5)
SmYTh: optimized geometry, GGA-PBE.

Cell: 3.548 5.383 10.404 Å, 90.00 99.77 90.00°
Fractional positions:
1 Sm 0.044 0.250 0.084
2 Sm 0.956 0.750 0.916
3 Y 0.376 0.250 0.757
4 Y 0.624 0.750 0.243
5 Th 0.209 0.250 0.418
6 Th 0.791 0.750 0.582

Output
Spin magnetization ... 0.000 μB per formula unit
VASP energy ... -6.143 eV/atom
ΔE to the lowest computed polymorph ... 0.032 eV per atom
Space-group type ... P2_1/m, No. 11
Energy of formation ... 0.06 eV/atom

(6)
SmYTh2: optimized geometry, GGA-PBE.

Cell: 4.218 4.218 7.338 Å, 90.00 90.00 90.00°
Fractional positions:
1 Sm 0.000 0.000 0.000
2 Y 0.000 0.000 0.500
3 Th 0.500 0.500 0.250
4 Th 0.500 0.500 0.750

Output
Spin magnetization ... 0.000 μB per formula unit
VASP energy ... -6.352 eV/atom
ΔE to the lowest computed polymorph ... 0.124 eV per atom
Space-group type ... P4/mmm, No. 123
Energy of formation ... 0.15 eV/atom

(7)
Sm8YTh2: optimized geometry, GGA-PBE.

Cell: 9.391 9.391 6.021 Å, 105.68 105.68 122.05°
Fractional positions:
1 Sm 0.100 0.335 0.680
2 Sm 0.207 0.793 0.000
3 Sm 0.335 0.100 0.680
4 Sm 0.424 0.424 0.206
5 Sm 0.576 0.576 0.794
6 Sm 0.665 0.900 0.320
7 Sm 0.793 0.207 0.000
8 Sm 0.900 0.665 0.320
9 Y 0.000 0.000 0.000
10 Th 0.308 0.692 0.500
11 Th 0.692 0.308 0.500

Output
Spin magnetization ... 0.000 μB per formula unit
VASP energy ... -5.175 eV/atom
Space-group type ... C2/m, No. 12
Energy of formation ... 0.19 eV/atom

(8)
SmYTh3: optimized geometry, GGA-PBE.

Cell: 8.326 8.326 8.326 Å, 106.49 88.58 137.81°
Fractional positions:
1 Sm 0.500 0.000 0.000
2 Sm 0.500 0.500 0.500
3 Y 0.052 0.302 0.750
4 Y 0.948 0.698 0.250
5 Th 0.000 0.000 0.000
6 Th 0.000 0.331 0.331
7 Th 0.000 0.669 0.669
8 Th 0.500 0.000 0.500
9 Th 0.500 0.331 0.831
10 Th 0.500 0.669 0.169

Output
Spin magnetization ... 0.000 μB per formula unit
VASP energy ... -6.311 eV/atom
Space-group type ... Imma, No. 74
Energy of formation ... 0.38 eV/atom

(9)
Sm7YTh3: optimized geometry, GGA-PBE.

Cell: 7.162 7.162 8.649 Å, 90.00 90.00 120.00°
Fractional positions:
1 Sm 0.000 0.000 0.000
2 Sm 0.003 0.501 0.996
3 Sm 0.331 0.165 0.652
4 Sm 0.499 0.501 0.996
5 Sm 0.499 0.997 0.996
6 Sm 0.835 0.165 0.652
7 Sm 0.835 0.669 0.652
8 Y 0.333 0.667 0.649
9 Th 0.167 0.334 0.324
10 Th 0.167 0.833 0.324
11 Th 0.666 0.833 0.324

Output
Spin magnetization ... 0.000 μB per formula unit
VASP energy ... -5.398 eV/atom
ΔE to the lowest computed polymorph ... 0.000 eV per atom
Space-group type ... P3m1, No. 156
Energy of formation ... 0.22 eV/atom

(10)
Sm2Y2Th3: optimized geometry, GGA-PBE.

Cell: 3.510 5.965 11.370 Å, 104.41 93.95 91.52°
Fractional positions:
1 Sm 0.207 0.078 0.158
2 Sm 0.793 0.922 0.842
3 Y 0.362 0.359 0.721
4 Y 0.638 0.641 0.279
5 Th 0.000 0.500 0.000
6 Th 0.229 0.777 0.554
7 Th 0.771 0.223 0.446

Output
Spin magnetization ... 0.000 μB per formula unit
VASP energy ... -6.254 eV/atom
Space-group type ... P-1, No. 2
Energy of formation ... 0.12 eV/atom

(11)
Sm4YTh: optimized geometry, GGA-PBE.

Cell: 11.682 11.971 3.442 Å, 90.00 90.00 90.00°
Fractional positions:
1 Sm 0.000 0.234 0.000
2 Sm 0.000 0.766 0.000
3 Sm 0.237 0.500 0.500
4 Sm 0.263 0.000 0.500
5 Sm 0.500 0.266 0.000
6 Sm 0.500 0.734 0.000
7 Sm 0.737 0.000 0.500
8 Sm 0.763 0.500 0.500
9 Y 0.000 0.000 0.500
10 Y 0.500 0.500 0.500
11 Th 0.000 0.500 0.000
12 Th 0.500 0.000 0.000

Output
Spin magnetization ... 0.000 μB per formula unit
VASP energy ... -4.792 eV/atom
ΔE to the lowest computed polymorph ... 0.637 eV per atom
Space-group type ... Cmmm, No. 65
Energy of formation ... 0.67 eV/atom

(12)
SmY6Th4: optimized geometry, GGA-PBE.

Cell: 5.618 5.618 26.067 Å, 90.00 90.00 118.37°
Fractional positions:
1 Sm 0.194 0.806 0.750
2 Sm 0.806 0.194 0.250
3 Y 0.140 0.860 0.180
4 Y 0.140 0.860 0.320
5 Y 0.187 0.813 0.602
6 Y 0.187 0.813 0.898
7 Y 0.469 0.531 0.250
8 Y 0.500 0.500 0.000
9 Y 0.500 0.500 0.500
10 Y 0.531 0.469 0.750
11 Y 0.813 0.187 0.102
12 Y 0.813 0.187 0.398
13 Y 0.860 0.140 0.680
14 Y 0.860 0.140 0.820
15 Th 0.156 0.844 0.046
16 Th 0.156 0.844 0.454
17 Th 0.471 0.529 0.123
18 Th 0.471 0.529 0.377
19 Th 0.529 0.471 0.623
20 Th 0.529 0.471 0.877
21 Th 0.844 0.156 0.546
22 Th 0.844 0.156 0.954

Output
Spin magnetization ... 0.000 μB per formula unit
VASP energy ... -6.501 eV/atom
Space-group type ... Cmcm, No. 63
Energy of formation ... 0.15 eV/atom

(13)
SmY6Th2: optimized geometry, GGA-PBE.

Cell: 3.595 3.595 26.451 Å, 90.00 90.00 120.00°
Fractional positions:
1 Sm 0.000 0.000 0.000
2 Y 0.000 0.000 0.219
3 Y 0.000 0.000 0.437
4 Y 0.000 0.000 0.563
5 Y 0.000 0.000 0.781
6 Y 0.333 0.667 0.111
7 Y 0.333 0.667 0.889
8 Th 0.333 0.667 0.330
9 Th 0.333 0.667 0.670

Output
Spin magnetization ... 0.000 μB per formula unit
VASP energy ... -6.410 eV/atom
ΔE to the lowest computed polymorph ... 0.000 eV per atom
Space-group type ... P-6m2, No. 187
Energy of formation ... 0.07 eV/atom

(14)
SmY6Th: optimized geometry, GGA-PBE.

Cell: 6.576 6.821 6.842 Å, 61.33 79.94 89.51°
Fractional positions:
1 Sm 0.000 0.000 0.000
2 Y 0.235 0.575 0.516
3 Y 0.252 0.545 0.003
4 Y 0.268 0.089 0.483
5 Y 0.732 0.911 0.517
6 Y 0.748 0.455 0.997
7 Y 0.765 0.425 0.484
8 Th 0.500 0.000 0.000

Output
Spin magnetization ... 0.000 μB per formula unit
VASP energy ... -6.142 eV/atom
ΔE to the lowest computed polymorph ... 0.191 eV per atom
Space-group type ... P-1, No. 2
Energy of formation ... 0.22 eV/atom

(15)
Sm5Y6Th2: optimized geometry, GGA-PBE.

Cell: 11.600 20.944 3.593 Å, 90.00 90.00 90.00°
Fractional positions:
1 Sm 0.000 0.000 0.000
2 Sm 0.067 0.292 0.000
3 Sm 0.192 0.577 0.000
4 Sm 0.308 0.077 0.000
5 Sm 0.433 0.792 0.000
6 Sm 0.500 0.500 0.000
7 Sm 0.567 0.208 0.000
8 Sm 0.692 0.923 0.000
9 Sm 0.808 0.423 0.000
10 Sm 0.933 0.708 0.000
11 Y 0.065 0.147 0.500
12 Y 0.078 0.436 0.500
13 Y 0.185 0.876 0.000
14 Y 0.315 0.376 0.000
15 Y 0.422 0.936 0.500
16 Y 0.435 0.647 0.500
17 Y 0.565 0.353 0.500
18 Y 0.578 0.064 0.500
19 Y 0.685 0.624 0.000
20 Y 0.815 0.124 0.000
21 Y 0.922 0.564 0.500
22 Y 0.935 0.853 0.500
23 Th 0.187 0.734 0.500
24 Th 0.313 0.234 0.500
25 Th 0.687 0.766 0.500
26 Th 0.813 0.266 0.500

Output
Spin magnetization ... 0.000 μB per formula unit
VASP energy ... -5.826 eV/atom
Space-group type ... Pbam, No. 55
Energy of formation ... 0.11 eV/atom

(16)
Sm2Y6Th3: optimized geometry, GGA-PBE.

Cell: 6.330 6.330 11.248 Å, 93.54 93.54 123.38°
Fractional positions:
1 Sm 0.145 0.855 0.000
2 Sm 0.855 0.145 0.000
3 Y 0.096 0.096 0.267
4 Y 0.255 0.574 0.765
5 Y 0.426 0.745 0.235
6 Y 0.574 0.255 0.765
7 Y 0.745 0.426 0.235
8 Y 0.904 0.904 0.733
9 Th 0.174 0.826 0.500
10 Th 0.500 0.500 0.500
11 Th 0.826 0.174 0.500

Output
Spin magnetization ... 0.000 μB per formula unit
VASP energy ... -6.240 eV/atom
Space-group type ... C2/m, No. 12
Energy of formation ... 0.17 eV/atom

(17)
Sm7Y16Th6: optimized geometry, GGA-PBE.

Cell: 11.158 11.158 11.158 Å, 60.00 60.00 60.00°
Fractional positions:
1 Sm 0.000 0.000 0.000
2 Sm 0.000 0.000 0.500
3 Sm 0.000 0.500 0.000
4 Sm 0.000 0.500 0.500
5 Sm 0.500 0.000 0.000
6 Sm 0.500 0.000 0.500
7 Sm 0.500 0.500 0.000
8 Y 0.025 0.658 0.658
9 Y 0.121 0.121 0.121
10 Y 0.121 0.121 0.638
11 Y 0.121 0.638 0.121
12 Y 0.342 0.342 0.342
13 Y 0.342 0.342 0.975
14 Y 0.342 0.975 0.342
15 Y 0.362 0.879 0.879
16 Y 0.638 0.121 0.121
17 Y 0.658 0.025 0.658
18 Y 0.658 0.658 0.025
19 Y 0.658 0.658 0.658
20 Y 0.879 0.362 0.879
21 Y 0.879 0.879 0.362
22 Y 0.879 0.879 0.879
23 Y 0.975 0.342 0.342
24 Th 0.332 0.332 0.668
25 Th 0.332 0.668 0.332
26 Th 0.332 0.668 0.668
27 Th 0.668 0.332 0.332
28 Th 0.668 0.332 0.668
29 Th 0.668 0.668 0.332

Output
Spin magnetization ... 0.001 μB per formula unit
VASP energy ... -5.912 eV/atom
Space-group type ... Fm-3m, No. 225
Energy of formation ... 0.33 eV/atom

(18)
Sm2Y3Th2: optimized geometry, GGA-PBE.

Cell: 11.914 3.598 10.717 Å, 90.00 95.73 90.00°
Fractional positions:
1 Sm 0.215 0.000 0.350
2 Sm 0.285 0.500 0.650
3 Sm 0.715 0.500 0.350
4 Sm 0.785 0.000 0.650
5 Y 0.000 0.500 0.500
6 Y 0.141 0.500 0.068
7 Y 0.359 0.000 0.932
8 Y 0.500 0.000 0.500
9 Y 0.641 0.000 0.068
10 Y 0.859 0.500 0.932
11 Th 0.067 0.000 0.783
12 Th 0.433 0.500 0.217
13 Th 0.567 0.500 0.783
14 Th 0.933 0.000 0.217

Output
Spin magnetization ... 0.000 μB per formula unit
VASP energy ... -6.196 eV/atom
ΔE to the lowest computed polymorph ... 0.000 eV per atom
Space-group type ... C2/m, No. 12
Energy of formation ... 0.04 eV/atom

(19)
Sm7Y2Th2: optimized geometry, GGA-PBE.

Cell: 8.079 8.079 6.157 Å, 105.69 105.69 90.74°
Fractional positions:
1 Sm 0.000 0.000 0.000
2 Sm 0.059 0.588 0.831
3 Sm 0.237 0.237 0.588
4 Sm 0.412 0.941 0.169
5 Sm 0.588 0.059 0.831
6 Sm 0.763 0.763 0.412
7 Sm 0.941 0.412 0.169
8 Y 0.220 0.780 0.500
9 Y 0.780 0.220 0.500
10 Th 0.423 0.423 0.194
11 Th 0.577 0.577 0.806

Output
Spin magnetization ... 0.000 μB per formula unit
VASP energy ... -5.353 eV/atom
ΔE to the lowest computed polymorph ... 0.000 eV per atom
Space-group type ... C2/m, No. 12
Energy of formation ... 0.17 eV/atom

(20)
SmY6Th2: optimized geometry, GGA-PBE.

Cell: 9.606 9.606 6.750 Å, 98.81 98.81 99.52°
Fractional positions:
1 Sm 0.098 0.902 0.750
2 Sm 0.902 0.098 0.250
3 Y 0.045 0.252 0.811
4 Y 0.081 0.445 0.308
5 Y 0.252 0.045 0.311
6 Y 0.261 0.643 0.976
7 Y 0.357 0.739 0.524
8 Y 0.445 0.081 0.808
9 Y 0.555 0.919 0.192
10 Y 0.643 0.261 0.476
11 Y 0.739 0.357 0.024
12 Y 0.748 0.955 0.689
13 Y 0.919 0.555 0.692
14 Y 0.955 0.748 0.189
15 Th 0.353 0.383 0.634
16 Th 0.383 0.353 0.134
17 Th 0.617 0.647 0.866
18 Th 0.647 0.617 0.366

Output
Spin magnetization ... 0.000 μB per formula unit
VASP energy ... -6.347 eV/atom
ΔE to the lowest computed polymorph ... 0.063 eV per atom
Space-group type ... C2/c, No. 15
Energy of formation ... 0.14 eV/atom